{"formula": "Rb3NaHg2F9", "functional": "PBE", "state": "relaxed", "lattice_angstrom": [[6.3893, 0.0000, 0.0000], [-3.1946, 5.5333, 0.0000], [0.0000, 0.0000, 7.8493]], "species": ["F", "F", "F", "F", "F", "F", "F", "F", "F", "Hg", "Hg", "Rb", "Rb", "Rb", "Na"], "frac_coords": [[0.5000, 0.5000, 0.0000], [0.0000, 0.5000, 0.0000], [0.6675, 0.8337, 0.3286], [0.5000, 0.0000, 0.0000], [0.1663, 0.8337, 0.3286], [0.8337, 0.6675, 0.6714], [0.1663, 0.3325, 0.3286], [0.8337, 0.1663, 0.6714], [0.3325, 0.1663, 0.6714], [0.3333, 0.6667, 0.1717], [0.6667, 0.3333, 0.8283], [0.0000, 0.0000, 0.0000], [0.6667, 0.3333, 0.3494], [0.3333, 0.6667, 0.6506], [0.0000, 0.0000, 0.5000]], "space_group": "P-3m1 (164)", "magmom_total_mub_per_fu": 0.88, "raw_formation_energy_ev_per_atom": -2.1093, "n_ef_per_ev_atom": 0.374}

=====

{"formula": "RbNa2Hg2F7", "functional": "PBE", "state": "relaxed", "lattice_angstrom": [[4.6740, -0.0001, 0.0015], [-0.0001, 4.6652, 0.0000], [-2.3339, -2.3321, 9.5958]], "species": ["F", "F", "F", "F", "F", "F", "F", "Rb", "Na", "Na", "Hg", "Hg"], "frac_coords": [[0.8786, 0.3836, 0.7585], [0.1215, 0.6268, 0.2417], [0.5005, 0.4503, 0.0000], [0.6245, 0.1241, 0.2460], [0.3753, 0.8770, 0.7539], [0.7392, 0.7422, 0.4786], [0.2606, 0.2632, 0.5214], [0.0000, 0.0203, 0.0000], [0.7505, 0.2536, 0.5012], [0.2493, 0.7524, 0.4988], [0.6187, 0.6218, 0.2363], [0.3813, 0.3846, 0.7637]], "space_group": "C2 (5)", "magmom_total_mub_per_fu": 0.00, "raw_formation_energy_ev_per_atom": -2.0844}

=====

{"formula": "RbNa4Hg3F12", "functional": "PBE", "state": "relaxed", "lattice_angstrom": [[7.4319, 0.0000, 0.0000], [-2.4773, 7.0069, 0.0000], [-2.4773, -3.5034, 6.0681]], "species": ["F", "F", "F", "F", "F", "F", "F", "F", "F", "F", "F", "F", "Na", "Na", "Na", "Na", "Rb", "Hg", "Hg", "Hg"], "frac_coords": [[0.1771, 0.8613, 0.6842], [0.3158, 0.8229, 0.1387], [0.1387, 0.3158, 0.8229], [0.1771, 0.4929, 0.3158], [0.6842, 0.1771, 0.8613], [0.5071, 0.6842, 0.8229], [0.8229, 0.5071, 0.6842], [0.6842, 0.8229, 0.5071], [0.8229, 0.1387, 0.3158], [0.4929, 0.3158, 0.1771], [0.8613, 0.6842, 0.1771], [0.3158, 0.1771, 0.4929], [0.0000, 0.0000, 0.5000], [0.5000, 0.0000, 0.0000], [0.0000, 0.5000, 0.0000], [0.5000, 0.5000, 0.5000], [0.0000, 0.0000, 0.0000], [0.5000, 0.5000, 0.0000], [0.5000, 0.0000, 0.5000], [0.0000, 0.5000, 0.5000]], "space_group": "Im-3 (204)", "magmom_total_mub_per_fu": 1.19, "raw_formation_energy_ev_per_atom": -2.0545, "n_ef_per_ev_atom": 0.605}

=====

{"formula": "Na2HgRhF6", "functional": "PBE", "state": "relaxed", "lattice_angstrom": [[5.8735, 0.0007, 0.0003], [2.9373, 5.0861, -0.0007], [2.9369, 1.6951, 5.3761]], "species": ["F", "F", "F", "F", "F", "F", "Hg", "Na", "Na", "Rh"], "frac_coords": [[0.2785, 0.9671, 0.2135], [0.9670, 0.5411, 0.2135], [0.5409, 0.2788, 0.2133], [0.3597, 0.6943, 0.7846], [0.1613, 0.3596, 0.7847], [0.6944, 0.1611, 0.7847], [0.7993, 0.7992, 0.6022], [0.0022, 0.0022, 0.9933], [0.5287, 0.5288, 0.4140], [0.3295, 0.3295, 0.0114]], "space_group": "R3 (146)", "e_above_lowest_polymorph_mev_per_atom": 0, "magmom_total_mub_per_fu": 0.22, "raw_formation_energy_ev_per_atom": -1.9002, "n_ef_per_ev_atom": 0.479}

=====

{"formula": "Na2HgRhF6", "functional": "PBE", "state": "relaxed", "lattice_angstrom": [[-0.2202, 4.3457, 4.4852], [-4.1218, 4.6813, -0.3847], [-4.8673, 0.2070, 3.9138]], "species": ["F", "F", "F", "F", "F", "F", "Na", "Na", "Hg", "Rh"], "frac_coords": [[0.2303, 0.7697, 0.2303], [0.7697, 0.2303, 0.2303], [0.2303, 0.7697, 0.7697], [0.7697, 0.7697, 0.2303], [0.7697, 0.2303, 0.7697], [0.2303, 0.2303, 0.7697], [0.7500, 0.7500, 0.7500], [0.2500, 0.2500, 0.2500], [0.5000, 0.5000, 0.5000], [0.0000, 0.0000, 0.0000]], "space_group": "Fm-3m (225)", "e_above_lowest_polymorph_mev_per_atom": 153, "magmom_total_mub_per_fu": 0.00, "raw_formation_energy_ev_per_atom": -1.7471, "n_ef_per_ev_atom": 0.240}

=====

{"formula": "NaHgRuF6", "functional": "PBE", "state": "relaxed", "lattice_angstrom": [[5.7237, 0.0000, 0.0000], [-2.8619, 4.9569, 0.0000], [0.0000, 0.0000, 9.6959]], "species": ["F", "F", "F", "F", "F", "F", "F", "F", "F", "F", "F", "F", "Ru", "Ru", "Na", "Na", "Hg", "Hg"], "frac_coords": [[0.6567, 0.6165, 0.1345], [0.9599, 0.3433, 0.1345], [0.9599, 0.6165, 0.3655], [0.0401, 0.6567, 0.8655], [0.3433, 0.3835, 0.8655], [0.3835, 0.3433, 0.3655], [0.6165, 0.9599, 0.8655], [0.6165, 0.6567, 0.6345], [0.3835, 0.0401, 0.1345], [0.6567, 0.0401, 0.3655], [0.0401, 0.3835, 0.6345], [0.3433, 0.9599, 0.6345], [0.3333, 0.6667, 0.7500], [0.6667, 0.3333, 0.2500], [0.6667, 0.3333, 0.7500], [0.3333, 0.6667, 0.2500], [0.0000, 0.0000, 0.5000], [0.0000, 0.0000, 0.0000]], "space_group": "P-31c (163)", "magmom_total_mub_per_fu": 1.00, "raw_formation_energy_ev_per_atom": -1.8049, "n_ef_per_ev_atom": 0.625}

=====

{"formula": "Na2HgSbF6", "functional": "PBE", "state": "relaxed", "lattice_angstrom": [[3.6696, -4.9505, -2.5905], [-1.8810, -6.3568, 0.8588], [-2.3260, -3.5263, -5.1807]], "species": ["F", "F", "F", "F", "F", "F", "Sb", "Hg", "Na", "Na"], "frac_coords": [[0.7763, 0.2237, 0.7763], [0.7763, 0.2237, 0.2237], [0.2237, 0.2237, 0.7763], [0.2237, 0.7763, 0.2237], [0.7763, 0.7763, 0.2237], [0.2237, 0.7763, 0.7763], [0.0000, 0.0000, 0.0000], [0.5000, 0.5000, 0.5000], [0.2500, 0.2500, 0.2500], [0.7500, 0.7500, 0.7500]], "space_group": "Fm-3m (225)", "magmom_total_mub_per_fu": 0.00, "raw_formation_energy_ev_per_atom": -1.9936, "n_ef_per_ev_atom": 0.173}

=====

{"formula": "Na2HgSbF", "functional": "PBE", "state": "relaxed", "lattice_angstrom": [[4.4094, 0.0000, 0.0000], [0.0000, 4.4094, 0.0000], [0.0000, 0.0000, 5.7071]], "species": ["F", "Na", "Na", "Hg", "Sb"], "frac_coords": [[0.0000, 0.0000, 0.0000], [0.0000, 0.5000, 0.0000], [0.5000, 0.0000, 0.0000], [0.0000, 0.0000, 0.5000], [0.5000, 0.5000, 0.5000]], "space_group": "P4/mmm (123)", "magmom_total_mub_per_fu": 0.00, "raw_formation_energy_ev_per_atom": -1.0960, "n_ef_per_ev_atom": 0.186}

=====

Please write out number 7 again, unchanged.
{"formula": "Na2HgSbF6", "functional": "PBE", "state": "relaxed", "lattice_angstrom": [[3.6696, -4.9505, -2.5905], [-1.8810, -6.3568, 0.8588], [-2.3260, -3.5263, -5.1807]], "species": ["F", "F", "F", "F", "F", "F", "Sb", "Hg", "Na", "Na"], "frac_coords": [[0.7763, 0.2237, 0.7763], [0.7763, 0.2237, 0.2237], [0.2237, 0.2237, 0.7763], [0.2237, 0.7763, 0.2237], [0.7763, 0.7763, 0.2237], [0.2237, 0.7763, 0.7763], [0.0000, 0.0000, 0.0000], [0.5000, 0.5000, 0.5000], [0.2500, 0.2500, 0.2500], [0.7500, 0.7500, 0.7500]], "space_group": "Fm-3m (225)", "magmom_total_mub_per_fu": 0.00, "raw_formation_energy_ev_per_atom": -1.9936, "n_ef_per_ev_atom": 0.173}